# 1
Material: Ba2NbAlFe
Method: DFT, PBE-GGA
State: relaxed

Summary:
The calculation puts the total energy at -3.76 eV/atom.

Unit cell a=5.9012 b=5.9012 c=5.0848 alpha=90.00 beta=90.00 gamma=90.00
Last column: nearest neighbours and their distance in Å.
Space group P4/mmm (No. 123)
Unique sites:
Ba1 0.0000 0.5000 0.0000  2 Nb 2.95
Nb1 0.0000 0.0000 0.0000  2 Al 2.54
Al1 0.0000 0.0000 0.5000  2 Nb 2.54
Fe1 0.5000 0.5000 0.5000  8 Ba 3.89, 4 Al 4.17

---

# 2
Material: BaAl2FeNi
Method: DFT, PBE-GGA
State: relaxed

Summary:
The calculation puts the total energy at -4.16 eV/atom.

Unit cell a=4.6050 b=4.6050 c=5.3951 alpha=90.00 beta=90.00 gamma=90.00
Last column: nearest neighbours and their distance in Å.
Space group P4/mmm (No. 123)
Unique sites:
Ba1 0.0000 0.0000 0.0000  2 Fe 2.70
Al1 0.0000 0.5000 0.5000  2 Fe 2.30
Fe1 0.0000 0.0000 0.5000  4 Al 2.30
Ni1 0.5000 0.5000 0.0000  4 Ba 3.26, 8 Al 3.55